Entry 1:
# Sr3Np3VN8 (PBE-GGA, optimized geometry)
data_Sr3Np3VN8
_chemical_formula_sum 'Sr3 Np3 V1 N8'
_symmetry_space_group_name_H-M 'P 1'
_symmetry_Int_Tables_number 1
_symmetry_space_group_name_Hall 'P 1'
_cell_length_a 7.1382
_cell_length_b 7.1382
_cell_length_c 7.1382
_cell_angle_alpha 56.65
_cell_angle_beta 56.65
_cell_angle_gamma 56.65
loop_
_atom_site_label
_atom_site_fract_x
_atom_site_fract_y
_atom_site_fract_z
Sr1 0.0000 0.5000 0.5000
Sr2 0.5000 0.0000 0.5000
Sr3 0.5000 0.5000 0.0000
Np1 0.0000 0.0000 0.5000
Np2 0.0000 0.5000 0.0000
Np3 0.5000 0.0000 0.0000
V1 0.5000 0.5000 0.5000
N1 0.2355 0.2355 0.2355
N2 0.2428 0.7181 0.7181
N3 0.2819 0.2819 0.7572
N4 0.2819 0.7572 0.2819
N5 0.7181 0.2428 0.7181
N6 0.7181 0.7181 0.2428
N7 0.7572 0.2819 0.2819
N8 0.7645 0.7645 0.7645
# * calculated total energy: -8.90 eV per atom
# * formation energy (no corrections): -0.927 eV/atom


Entry 2:
# ZrZnPt3 (PBE-GGA, optimized geometry)
data_ZrZnPt3
_chemical_formula_sum 'Zr1 Zn1 Pt3'
_symmetry_space_group_name_H-M 'P 1'
_symmetry_Int_Tables_number 1
_symmetry_space_group_name_Hall 'P 1'
_cell_length_a 4.9751
_cell_length_b 4.9751
_cell_length_c 4.9751
_cell_angle_alpha 90.00
_cell_angle_beta 90.00
_cell_angle_gamma 90.00
loop_
_atom_site_label
_atom_site_fract_x
_atom_site_fract_y
_atom_site_fract_z
Zr1 0.0000 0.0000 0.0000
Zn1 0.5000 0.5000 0.5000
Pt1 0.0000 0.0000 0.5000
Pt2 0.0000 0.5000 0.0000
Pt3 0.5000 0.0000 0.0000
# * energy above the lowest structure with this stoichiometry: 1.3202 eV/atom
# * energy relative to the elements: 775 meV per atom
# * calculated total energy: -4.81 eV per atom